1.
# MgPdAu6

An optimized crystal structure of MgPdAu6 (PBE, the Alexandria database).

The structure belongs to space group P-6m2 (No. 187); the cell edges are 5.8462, 5.8462 and 4.7594 Å and the angles 90.00°, 90.00° and 120.00°. Symmetry generates all atoms from Mg at (0.0000, 0.0000, 0.0000), Pd at (0.6667, 0.3333, 0.5000), Au at (0.1650, 0.3300, 0.5000) and Au at (0.5015, 0.0029, 0.0000).

The value obtained for the mass density is 15.5 g/cm3. For the uncorrected energy, the calculation gives -3.523 eV per atom. The value obtained for the energy above the most stable polymorph in this dataset is 0.18 eV/f.u. For the total magnetization, the calculation gives 0.00 μB per atom. Its crystal system is hexagonal.



2.
# LuPu4Pa

An optimized crystal structure of LuPu4Pa (PBE, the Alexandria database).

The structure belongs to space group F-43m (No. 216); the cell edges are 8.486, 8.486 and 8.486 Å and the angles 90.00°, 90.00° and 90.00°. Symmetry generates all atoms from Lu at (0.000, 0.000, 0.000), Pu at (0.124, 0.124, 0.624) and Pa at (0.250, 0.250, 0.250).

The value obtained for the mass density is 15.0 g/cm3. For the uncorrected energy, the calculation gives -11.594 eV per atom. For the total magnetization, the calculation gives 3.60 μB per atom. Its crystal system is cubic.



3.
# Ba2Na2Sr

An optimized crystal structure of Ba2Na2Sr (PBE, the Alexandria database).

The structure belongs to space group P4/mbm (No. 127); the cell edges are 11.131, 11.131 and 4.248 Å and the angles 90.00°, 90.00° and 90.00°. Symmetry generates all atoms from Ba at (0.136, 0.364, 0.000), Na at (0.162, 0.662, 0.500) and Sr at (0.000, 0.000, 0.000).

The value obtained for the mass density is 2.6 g/cm3. For the uncorrected energy, the calculation gives -1.524 eV per atom. The value obtained for the energy above the most stable polymorph in this dataset is 0.49 eV/f.u. For the total magnetization, the calculation gives 0.00 μB per atom. Its crystal system is tetragonal.



4.
# LaGdLu

An optimized crystal structure of LaGdLu (PBE, the Alexandria database).

The structure belongs to space group P3m1 (No. 156); the cell edges are 3.6085, 3.6085 and 8.7486 Å and the angles 90.00°, 90.00° and 120.00°. Symmetry generates all atoms from La at (0.0000, 0.0000, 0.0000), Gd at (0.6667, 0.3333, 0.3458) and Lu at (0.3333, 0.6667, 0.6679).

The value obtained for the mass density is 7.9 g/cm3. For the uncorrected energy, the calculation gives -7.815 eV per atom. The value obtained for the energy above the most stable polymorph in this dataset is 0.00 eV/f.u. For the total magnetization, the calculation gives 2.48 μB per atom. Its crystal system is trigonal.



- What is the uncorrected energy in the first record?
  -3.523 eV per atom